# 1
# BaZnTe | the Open Quantum Materials Database | PBE | relaxed
# symmetry	F-43m
# calculated density	4.374	g/cm³
# energy above the lowest structure with this stoichiometry	0.000	eV/atom
# crystal system	cubic
data_BaZnTe
_chemical_formula_sum 'Ba1 Zn1 Te1'
_space_group_name_H-M_alt 'P 1'
_space_group_IT_number 1
_cell_length_a 5.6184
_cell_length_b 5.6184
_cell_length_c 5.6184
_cell_angle_alpha 60.00
_cell_angle_beta 60.00
_cell_angle_gamma 60.00
loop_
_space_group_symop_operation_xyz
'x,y,z'
loop_
_atom_site_label
_atom_site_type_symbol
_atom_site_fract_x
_atom_site_fract_y
_atom_site_fract_z
Ba1 Ba 0.0000 0.0000 0.0000
Zn1 Zn 0.2500 0.2500 0.2500
Te1 Te 0.7500 0.7500 0.7500

=====

# 2
# Ba2ZrTe | the Open Quantum Materials Database | PBE | relaxed
# total DFT energy (no corrections)	-3.759	eV/atom
# symmetry	F-43m
# calculated density	6.098	g/cm³
# crystal system	cubic
data_Ba2ZrTe
_chemical_formula_sum 'Ba2 Zr1 Te1'
_space_group_name_H-M_alt 'P 1'
_space_group_IT_number 1
_cell_length_a 5.7494
_cell_length_b 5.7494
_cell_length_c 5.7494
_cell_angle_alpha 60.00
_cell_angle_beta 60.00
_cell_angle_gamma 60.00
loop_
_space_group_symop_operation_xyz
'x,y,z'
loop_
_atom_site_label
_atom_site_type_symbol
_atom_site_fract_x
_atom_site_fract_y
_atom_site_fract_z
Ba1 Ba 0.0000 0.0000 0.0000
Ba2 Ba 0.2500 0.2500 0.2500
Zr1 Zr 0.5000 0.5000 0.5000
Te1 Te 0.7500 0.7500 0.7500

=====

# 3
# BaZrTe4 | the Open Quantum Materials Database | PBE | relaxed
# total DFT energy (no corrections)	-4.736	eV/atom
# symmetry	Cmc2_1
# calculated density	5.666	g/cm³
# crystal system	orthorhombic
data_BaZrTe4
_chemical_formula_sum 'Ba2 Zr2 Te8'
_space_group_name_H-M_alt 'P 1'
_space_group_IT_number 1
_cell_length_a 9.6099
_cell_length_b 9.6099
_cell_length_c 8.2718
_cell_angle_alpha 90.00
_cell_angle_beta 90.00
_cell_angle_gamma 145.46
loop_
_space_group_symop_operation_xyz
'x,y,z'
loop_
_atom_site_label
_atom_site_type_symbol
_atom_site_fract_x
_atom_site_fract_y
_atom_site_fract_z
Ba1 Ba 0.1155 0.8845 0.5000
Ba2 Ba 0.8845 0.1155 0.0000
Zr1 Zr 0.3975 0.6025 0.4352
Zr2 Zr 0.6025 0.3975 0.9352
Te1 Te 0.1011 0.8989 0.9410
Te2 Te 0.2634 0.7366 0.2249
Te3 Te 0.2915 0.7085 0.7105
Te4 Te 0.4742 0.5258 0.1292
Te5 Te 0.5258 0.4742 0.6292
Te6 Te 0.7085 0.2915 0.2105
Te7 Te 0.7366 0.2634 0.7249
Te8 Te 0.8989 0.1011 0.4410

=====

# 4
# BaZr2Te4 | the Open Quantum Materials Database | PBE | relaxed
# total DFT energy (no corrections)	-5.423	eV/atom
# symmetry	Cccm
# calculated density	5.221	g/cm³
# crystal system	orthorhombic
data_BaZr2Te4
_chemical_formula_sum 'Ba2 Zr4 Te8'
_space_group_name_H-M_alt 'P 1'
_space_group_IT_number 1
_cell_length_a 7.0396
_cell_length_b 7.0396
_cell_length_c 12.3450
_cell_angle_alpha 90.00
_cell_angle_beta 90.00
_cell_angle_gamma 120.33
loop_
_space_group_symop_operation_xyz
'x,y,z'
loop_
_atom_site_label
_atom_site_type_symbol
_atom_site_fract_x
_atom_site_fract_y
_atom_site_fract_z
Ba1 Ba 0.0000 0.0000 0.2500
Ba2 Ba 0.0000 0.0000 0.7500
Zr1 Zr 0.2524 0.7446 0.0000
Zr2 Zr 0.2554 0.7476 0.5000
Zr3 Zr 0.7446 0.2524 0.5000
Zr4 Zr 0.7476 0.2554 0.0000
Te1 Te 0.0000 0.5000 0.1816
Te2 Te 0.0000 0.5000 0.8184
Te3 Te 0.1757 0.3113 0.5000
Te4 Te 0.3113 0.1757 0.0000
Te5 Te 0.5000 0.0000 0.3184
Te6 Te 0.5000 0.0000 0.6816
Te7 Te 0.6887 0.8243 0.0000
Te8 Te 0.8243 0.6887 0.5000

=====

# 5
# BaThW | the Open Quantum Materials Database | PBE | relaxed
# symmetry	F-43m
# calculated density	9.651	g/cm³
# energy above the lowest structure with this stoichiometry	0.000	eV/atom
# crystal system	cubic
data_BaThW
_chemical_formula_sum 'Ba1 Th1 W1'
_space_group_name_H-M_alt 'P 1'
_space_group_IT_number 1
_cell_length_a 5.1250
_cell_length_b 5.1250
_cell_length_c 5.1250
_cell_angle_alpha 60.00
_cell_angle_beta 60.00
_cell_angle_gamma 60.00
loop_
_space_group_symop_operation_xyz
'x,y,z'
loop_
_atom_site_label
_atom_site_type_symbol
_atom_site_fract_x
_atom_site_fract_y
_atom_site_fract_z
Ba1 Ba 0.0000 0.0000 0.0000
Th1 Th 0.5000 0.5000 0.5000
W1 W 0.7500 0.7500 0.7500

=====

# 6
# BaThZn | the Open Quantum Materials Database | PBE | relaxed
# symmetry	F-43m
# calculated density	6.829	g/cm³
# energy above the lowest structure with this stoichiometry	0.000	eV/atom
# crystal system	cubic
data_BaThZn
_chemical_formula_sum 'Ba1 Th1 Zn1'
_space_group_name_H-M_alt 'P 1'
_space_group_IT_number 1
_cell_length_a 5.3076
_cell_length_b 5.3076
_cell_length_c 5.3076
_cell_angle_alpha 60.00
_cell_angle_beta 60.00
_cell_angle_gamma 60.00
loop_
_space_group_symop_operation_xyz
'x,y,z'
loop_
_atom_site_label
_atom_site_type_symbol
_atom_site_fract_x
_atom_site_fract_y
_atom_site_fract_z
Ba1 Ba 0.0000 0.0000 0.0000
Th1 Th 0.5000 0.5000 0.5000
Zn1 Zn 0.2500 0.2500 0.2500

=====

# 7
# BaThZr | the Open Quantum Materials Database | PBE | relaxed
# symmetry	F-43m
# calculated density	6.728	g/cm³
# energy above the lowest structure with this stoichiometry	0.000	eV/atom
# crystal system	cubic
data_BaThZr
_chemical_formula_sum 'Ba1 Th1 Zr1'
_space_group_name_H-M_alt 'P 1'
_space_group_IT_number 1
_cell_length_a 5.4375
_cell_length_b 5.4375
_cell_length_c 5.4375
_cell_angle_alpha 60.00
_cell_angle_beta 60.00
_cell_angle_gamma 60.00
loop_
_space_group_symop_operation_xyz
'x,y,z'
loop_
_atom_site_label
_atom_site_type_symbol
_atom_site_fract_x
_atom_site_fract_y
_atom_site_fract_z
Ba1 Ba 0.0000 0.0000 0.0000
Th1 Th 0.5000 0.5000 0.5000
Zr1 Zr 0.2500 0.2500 0.2500

=====

# 8
# BaTmTl | the Open Quantum Materials Database | PBE | relaxed
# symmetry	F-43m
# calculated density	7.199	g/cm³
# energy above the lowest structure with this stoichiometry	0.450	eV/atom
# crystal system	cubic
data_BaTmTl
_chemical_formula_sum 'Ba1 Tm1 Tl1'
_space_group_name_H-M_alt 'P 1'
_space_group_IT_number 1
_cell_length_a 5.5021
_cell_length_b 5.5021
_cell_length_c 5.5021
_cell_angle_alpha 60.00
_cell_angle_beta 60.00
_cell_angle_gamma 60.00
loop_
_space_group_symop_operation_xyz
'x,y,z'
loop_
_atom_site_label
_atom_site_type_symbol
_atom_site_fract_x
_atom_site_fract_y
_atom_site_fract_z
Ba1 Ba 0.0000 0.0000 0.0000
Tm1 Tm 0.2500 0.2500 0.2500
Tl1 Tl 0.7500 0.7500 0.7500